An optimized crystal structure of Tb5PmHo2Tm. Source: the Alexandria database, functional GGA-PBE.

Cell lengths 5.5850, 19.9385, 10.5987 Å; angles 90.00, 90.00, 90.00 degrees
Last column: nearest neighbours and their distance in Å.
Space group Cmc2_1 (No. 36)
Unique sites:
Tb (0.0000, 0.0173, 0.0000) (multiplicity 4)  2 Tm 3.20, 3 Ho 3.39-3.55
Tb (0.0000, 0.2817, 0.2818) (multiplicity 4)  1 Tm 3.06, 1 Ho 3.34, 2 Tb 3.40
Tb (0.0000, 0.3003, 0.6822) (multiplicity 4)  3 Tb 3.40-3.59, 1 Tm 3.46, 2 Ho 3.48, 3 Pm 3.48-3.78
Tb (0.0000, 0.3928, 0.9993) (multiplicity 4)  6 Tb 3.42-3.83, 4 Ho 3.55-3.60, 1 Pm 3.83
Tb (0.0000, 0.4793, 0.7148) (multiplicity 4)  2 Tm 3.16-3.27, 2 Tb 3.42-3.47, 2 Ho 3.46
Pm (0.0000, 0.2009, 0.9861) (multiplicity 4)  2 Ho 3.42-3.69, 8 Tb 3.48-3.83, 2 Tm 3.64
Ho (0.0000, 0.1092, 0.7133) (multiplicity 4)  6 Tb 3.39-3.61, 1 Pm 3.42, 2 Tm 3.66
Ho (0.0000, 0.1141, 0.2935) (multiplicity 4)  9 Tb 3.34-3.66, 1 Pm 3.69
Tm (0.0000, 0.4124, 0.4326) (multiplicity 4)  5 Tb 3.06-3.27

- N(E_F): 56.63 states/eV per cell
- Size of the total moment: 0.00 μB/cell
- Calculated density: 8095 kg/m3
- Energy: -4.462 eV per atom

---

An optimized crystal structure of ZrBe2Re2. Source: the Alexandria database, functional GGA-PBE.

Cell lengths 7.3149, 7.3149, 2.6202 Å; angles 90.00, 90.00, 90.00 degrees
Last column: nearest neighbours and their distance in Å.
Space group P4/mbm (No. 127)
Unique sites:
Zr (0.0000, 0.0000, 0.0000) (multiplicity 2)  2 Zr 2.62, 4 Re 2.89
Be (0.1689, 0.3311, 0.5000) (multiplicity 4)  6 Re 2.49-2.54, 2 Be 2.62
Re (0.1262, 0.6262, 0.0000) (multiplicity 4)  6 Be 2.49-2.54, 3 Re 2.61-2.62

- N(E_F): 7.43 states/eV per cell
- Size of the total moment: 0.00 μB/cell
- Calculated density: 11410 kg/m3
- Energy: -8.060 eV per atom

---

An optimized crystal structure of Li2Sn4Ru. Source: the Alexandria database, functional GGA-PBE.

Cell lengths 5.0896, 5.0896, 13.7909 Å; angles 90.00, 90.00, 90.00 degrees
Last column: nearest neighbours and their distance in Å.
Space group I4/mmm (No. 139)
Unique sites:
Li (0.0000, 0.0000, 0.1125) (multiplicity 4)  1 Sn 2.65
Sn (0.0000, 0.0000, 0.3045) (multiplicity 4)  1 Li 2.65, 1 Ru 2.70
Sn (0.0000, 0.5000, 0.0000) (multiplicity 4)  2 Ru 2.54
Ru (0.0000, 0.0000, 0.5000) (multiplicity 2)  6 Sn 2.54-2.70

- N(E_F): 7.16 states/eV per cell
- Size of the total moment: 0.00 μB/cell
- Calculated density: 5483 kg/m3
- Energy: -4.105 eV per atom

---

An optimized crystal structure of LiMg2Hg7. Source: the Alexandria database, functional GGA-PBE.

Cell lengths 4.8267, 4.8267, 11.8767 Å; angles 90.00, 90.00, 120.00 degrees
Last column: nearest neighbours and their distance in Å.
Space group P3m1 (No. 156)
Unique sites:
Li (0.0000, 0.0000, 0.0000) (multiplicity 1)  7 Hg 2.86-3.07
Mg (0.3333, 0.6667, 0.8014) (multiplicity 1)  7 Hg 2.88-3.05
Mg (0.6667, 0.3333, 0.3978) (multiplicity 1)  8 Hg 2.79-3.04
Hg (0.0000, 0.0000, 0.2963) (multiplicity 1)  3 Mg 3.04, 3 Hg 3.21
Hg (0.0000, 0.0000, 0.7418) (multiplicity 1)  3 Mg 2.88, 1 Li 3.07, 3 Hg 3.07
Hg (0.3333, 0.6667, 0.0540) (multiplicity 1)  3 Li 2.86, 1 Mg 3.00, 3 Hg 3.07
Hg (0.3333, 0.6667, 0.4958) (multiplicity 1)  3 Mg 3.02, 3 Hg 3.23
Hg (0.6667, 0.3333, 0.1630) (multiplicity 1)  1 Mg 2.79, 4 Hg 3.06-3.07
Hg (0.6667, 0.3333, 0.6333) (multiplicity 1)  1 Mg 2.80, 3 Hg 3.07
Hg (0.6667, 0.3333, 0.9054) (multiplicity 1)  3 Li 3.00, 3 Mg 3.05, 5 Hg 3.06-3.30

- N(E_F): 3.00 states/eV per cell
- Size of the total moment: 0.00 μB/cell
- Calculated density: 10115 kg/m3
- Energy: -0.848 eV per atom